No. 1
ReAgI3: PBEsol geometry, SCAN.

## Properties
Density of states at the Fermi level ... 2.05 states/eV/cell
Final energy ... -206.4 eV per cell
Total moment ... 6.1 μB per cell
E_form (uncorrected) ... 1260 meV/atom

a = 5.5463 Å, b = 5.5463 Å, c = 5.5463 Å
α = 90.00°, β = 90.00°, γ = 90.00°
Last column: nearest neighbours and their distance in Å.
Space group Pm-3m (No. 221)
Asymmetric unit:
Re 0.0000 0.0000 0.0000 [1 per cell]  12 I 3.92
Ag 0.5000 0.5000 0.5000 [1 per cell]  6 I 2.77
I 0.0000 0.5000 0.5000 [3 per cell]  2 Ag 2.77


No. 2
AgTe2RhI: PBEsol geometry, SCAN.

## Properties
Density of states at the Fermi level ... 6.35 states/eV/cell
Final energy ... -174.3 eV per cell
Total moment ... 0.0 μB per cell
E_form (uncorrected) ... 408 meV/atom

a = 5.1011 Å, b = 5.1011 Å, c = 5.4541 Å
α = 90.00°, β = 90.00°, γ = 90.00°
Last column: nearest neighbours and their distance in Å.
Space group P4/mmm (No. 123)
Asymmetric unit:
Ag 0.0000 0.0000 0.0000 [1 per cell]  4 I 3.61, 8 Te 3.73
Te 0.0000 0.5000 0.5000 [2 per cell]  2 Rh 2.55
Rh 0.5000 0.5000 0.5000 [1 per cell]  4 Te 2.55, 2 I 2.73
I 0.5000 0.5000 0.0000 [1 per cell]  2 Rh 2.73


No. 3
AgTe2RhI: PBEsol geometry, SCAN.

## Properties
Density of states at the Fermi level ... 5.68 states/eV/cell
Final energy ... -171.1 eV per cell
Total moment ... 2.9 μB per cell
E_form (uncorrected) ... 1055 meV/atom

a = 5.2787 Å, b = 5.2787 Å, c = 5.3955 Å
α = 90.00°, β = 90.00°, γ = 90.00°
Last column: nearest neighbours and their distance in Å.
Space group P4/mmm (No. 123)
Asymmetric unit:
Ag 0.0000 0.0000 0.0000 [1 per cell]  4 Te 2.64, 2 I 2.70
Te 0.0000 0.5000 0.0000 [2 per cell]  2 Ag 2.64
Rh 0.5000 0.5000 0.5000 [1 per cell]  4 I 3.73, 8 Te 3.77
I 0.0000 0.0000 0.5000 [1 per cell]  2 Ag 2.70


No. 4
AgSb2RuI: PBEsol geometry, SCAN.

## Properties
Density of states at the Fermi level ... 3.08 states/eV/cell
Final energy ... -170.6 eV per cell
Total moment ... 2.2 μB per cell
E_form (uncorrected) ... 1362 meV/atom

a = 5.1885 Å, b = 5.1885 Å, c = 5.4045 Å
α = 90.00°, β = 90.00°, γ = 90.00°
Last column: nearest neighbours and their distance in Å.
Space group P4/mmm (No. 123)
Asymmetric unit:
Ag 0.0000 0.0000 0.0000 [1 per cell]  4 Sb 2.59, 2 I 2.70
Sb 0.0000 0.5000 0.0000 [2 per cell]  2 Ag 2.59
Ru 0.5000 0.5000 0.5000 [1 per cell]  4 I 3.67, 8 Sb 3.75
I 0.0000 0.0000 0.5000 [1 per cell]  2 Ag 2.70